# P2AuO2

An optimized crystal structure of P2AuO2 (PBE-GGA, Alexandria via LeMat-Bulk).

Properties
- Size of the total moment: 0.00 μB/f.u.
- Space group: No. 123
- DOS(E_F): 4.39 states/eV per cell
- Total energy: -17.10 eV per cell
- Energy relative to the lowest polymorph listed for this composition: 1769.2 meV per atom
- Uncorrected formation energy: 1.384 eV/atom

abc: 4.8068 4.8068 3.9220
angles: 90.00 90.00 90.00
Positions (direct):
P: 0.0000 0.5000 0.0000
P: 0.5000 0.0000 0.0000
Au: 0.0000 0.0000 0.0000
O: 0.0000 0.0000 0.5000
O: 0.5000 0.5000 0.5000



# PAu2O

An optimized crystal structure of PAu2O (PBE-GGA, Alexandria via LeMat-Bulk).

Properties
- Size of the total moment: 0.00 μB/f.u.
- Space group: No. 122
- DOS(E_F): 2.11 states/eV per cell
- Total energy: -32.03 eV per cell
- Energy relative to the lowest polymorph listed for this composition: 0.0 meV per atom
- Uncorrected formation energy: 0.227 eV/atom

abc: 5.7629 5.7629 5.7629
angles: 117.60 117.60 94.21
Positions (direct):
P: 0.0000 0.0000 0.0000
P: 0.7500 0.2500 0.5000
Au: 0.1354 0.6250 0.0104
Au: 0.3750 0.3854 0.5104
Au: 0.6146 0.1250 0.9896
Au: 0.8750 0.8646 0.4896
O: 0.2500 0.7500 0.5000
O: 0.5000 0.5000 0.0000



# PAu2O

An optimized crystal structure of PAu2O (PBE-GGA, Alexandria via LeMat-Bulk).

Properties
- Size of the total moment: 0.00 μB/f.u.
- Space group: No. 225
- DOS(E_F): 4.34 states/eV per cell
- Total energy: -14.84 eV per cell
- Energy relative to the lowest polymorph listed for this composition: 294.0 meV per atom
- Uncorrected formation energy: 0.520 eV/atom

abc: 4.3538 4.3538 4.3538
angles: 60.00 60.00 60.00
Positions (direct):
P: 0.0000 0.0000 0.0000
Au: 0.2500 0.2500 0.2500
Au: 0.7500 0.7500 0.7500
O: 0.5000 0.5000 0.5000



# PaP2AuO8

An optimized crystal structure of PaP2AuO8 (PBE-GGA, Alexandria via LeMat-Bulk).

Properties
- Size of the total moment: 0.08 μB/f.u.
- Space group: No. 12
- Total energy: -91.33 eV per cell
- Uncorrected formation energy: -2.339 eV/atom

abc: 5.5972 5.5972 9.0010
angles: 104.87 104.87 60.60
Positions (direct):
Pa: 0.0000 0.0000 0.0000
P: 0.2825 0.2825 0.7936
P: 0.7175 0.7175 0.2064
Au: 0.0000 0.0000 0.5000
O: 0.1591 0.6029 0.8473
O: 0.1685 0.1685 0.8860
O: 0.2146 0.2146 0.6188
O: 0.3971 0.8409 0.1527
O: 0.6029 0.1591 0.8473
O: 0.7854 0.7854 0.3812
O: 0.8315 0.8315 0.1140
O: 0.8409 0.3971 0.1527



# PaPAuO6

An optimized crystal structure of PaPAuO6 (PBE-GGA, Alexandria via LeMat-Bulk).

Properties
- Size of the total moment: 0.71 μB/f.u.
- Space group: No. 1
- DOS(E_F): 3.73 states/eV per cell
- Total energy: -64.53 eV per cell
- Uncorrected formation energy: -1.844 eV/atom

abc: 4.9673 5.2077 5.5259
angles: 62.21 84.70 77.60
Positions (direct):
Pa: 0.0000 0.0000 0.0000
P: 0.0010 0.6624 0.6738
Au: 0.5017 0.2852 0.4303
O: 0.1986 0.8881 0.6851
O: 0.1995 0.6353 0.4019
O: 0.2065 0.3549 0.9162
O: 0.7959 0.7274 0.9146
O: 0.7999 0.9616 0.4004
O: 0.8026 0.4267 0.6808



# PPbAuO2

An optimized crystal structure of PPbAuO2 (PBE-GGA, Alexandria via LeMat-Bulk).

Properties
- Size of the total moment: 0.00 μB/f.u.
- Space group: No. 123
- DOS(E_F): 3.93 states/eV per cell
- Total energy: -20.97 eV per cell
- Energy relative to the lowest polymorph listed for this composition: 0.0 meV per atom
- Uncorrected formation energy: 0.268 eV/atom

abc: 4.1493 4.1493 4.9505
angles: 90.00 90.00 90.00
Positions (direct):
P: 0.0000 0.0000 0.0000
Pb: 0.5000 0.5000 0.0000
Au: 0.0000 0.0000 0.5000
O: 0.0000 0.5000 0.5000
O: 0.5000 0.0000 0.5000



# P2PbAuO

An optimized crystal structure of P2PbAuO (PBE-GGA, Alexandria via LeMat-Bulk).

Properties
- Size of the total moment: 0.00 μB/f.u.
- Space group: No. 123
- DOS(E_F): 4.81 states/eV per cell
- Total energy: -17.73 eV per cell
- Energy relative to the lowest polymorph listed for this composition: 424.8 meV per atom
- Uncorrected formation energy: 1.006 eV/atom

abc: 5.2923 5.2923 4.0485
angles: 90.00 90.00 90.00
Positions (direct):
P: 0.0000 0.5000 0.0000
P: 0.5000 0.0000 0.0000
Pb: 0.0000 0.0000 0.0000
Au: 0.5000 0.5000 0.5000
O: 0.0000 0.0000 0.5000



# P2PbAuO8

An optimized crystal structure of P2PbAuO8 (PBE-GGA, Alexandria via LeMat-Bulk).

Properties
- Size of the total moment: 1.05 μB/f.u.
- Space group: No. 148
- DOS(E_F): 4.57 states/eV per cell
- Total energy: -74.14 eV per cell
- Uncorrected formation energy: -1.389 eV/atom

abc: 8.1174 8.1174 8.1174
angles: 34.77 34.77 34.77
Positions (direct):
P: 0.2444 0.2444 0.2444
P: 0.7556 0.7556 0.7556
Pb: 0.0000 0.0000 0.0000
Au: 0.5000 0.5000 0.5000
O: 0.0837 0.4694 0.7756
O: 0.2244 0.9163 0.5306
O: 0.3118 0.3118 0.3118
O: 0.4694 0.7756 0.0837
O: 0.5306 0.2244 0.9163
O: 0.6882 0.6882 0.6882
O: 0.7756 0.0837 0.4694
O: 0.9163 0.5306 0.2244



# PPbAuO2

An optimized crystal structure of PPbAuO2 (PBE-GGA, Alexandria via LeMat-Bulk).

Properties
- Size of the total moment: 0.84 μB/f.u.
- Space group: No. 123
- DOS(E_F): 3.82 states/eV per cell
- Total energy: -20.35 eV per cell
- Energy relative to the lowest polymorph listed for this composition: 124.8 meV per atom
- Uncorrected formation energy: 0.393 eV/atom

abc: 4.0659 4.0659 5.8549
angles: 90.00 90.00 90.00
Positions (direct):
P: 0.0000 0.0000 0.0000
Pb: 0.0000 0.0000 0.5000
Au: 0.5000 0.5000 0.0000
O: 0.0000 0.5000 0.5000
O: 0.5000 0.0000 0.5000



# P2PbAuO

An optimized crystal structure of P2PbAuO (PBE-GGA, Alexandria via LeMat-Bulk).

Properties
- Size of the total moment: 0.50 μB/f.u.
- Space group: No. 123
- DOS(E_F): 6.15 states/eV per cell
- Total energy: -19.86 eV per cell
- Energy relative to the lowest polymorph listed for this composition: 0.0 meV per atom
- Uncorrected formation energy: 0.581 eV/atom

abc: 4.9880 4.9880 4.0437
angles: 90.00 90.00 90.00
Positions (direct):
P: 0.0000 0.5000 0.0000
P: 0.5000 0.0000 0.0000
Pb: 0.0000 0.0000 0.5000
Au: 0.5000 0.5000 0.0000
O: 0.5000 0.5000 0.5000



# P2PdAuO

An optimized crystal structure of P2PdAuO (PBE-GGA, Alexandria via LeMat-Bulk).

Properties
- Size of the total moment: 0.74 μB/f.u.
- Space group: No. 123
- DOS(E_F): 2.47 states/eV per cell
- Total energy: -21.30 eV per cell
- Energy relative to the lowest polymorph listed for this composition: 0.0 meV per atom
- Uncorrected formation energy: 0.590 eV/atom

abc: 4.7858 4.7858 3.7777
angles: 90.00 90.00 90.00
Positions (direct):
P: 0.0000 0.5000 0.0000
P: 0.5000 0.0000 0.0000
Pd: 0.0000 0.0000 0.0000
Au: 0.5000 0.5000 0.5000
O: 0.0000 0.0000 0.5000



# P2PdAuO

An optimized crystal structure of P2PdAuO (PBE-GGA, Alexandria via LeMat-Bulk).

Properties
- Size of the total moment: 0.00 μB/f.u.
- Space group: No. 123
- DOS(E_F): 5.21 states/eV per cell
- Total energy: -19.64 eV per cell
- Energy relative to the lowest polymorph listed for this composition: 332.4 meV per atom
- Uncorrected formation energy: 0.922 eV/atom

abc: 4.8497 4.8497 3.8781
angles: 90.00 90.00 90.00
Positions (direct):
P: 0.0000 0.5000 0.0000
P: 0.5000 0.0000 0.0000
Pd: 0.0000 0.0000 0.5000
Au: 0.5000 0.5000 0.0000
O: 0.5000 0.5000 0.5000



Copy entry 3 word for word.
# PAu2O

An optimized crystal structure of PAu2O (PBE-GGA, Alexandria via LeMat-Bulk).

Properties
- Size of the total moment: 0.00 μB/f.u.
- Space group: No. 225
- DOS(E_F): 4.34 states/eV per cell
- Total energy: -14.84 eV per cell
- Energy relative to the lowest polymorph listed for this composition: 294.0 meV per atom
- Uncorrected formation energy: 0.520 eV/atom

abc: 4.3538 4.3538 4.3538
angles: 60.00 60.00 60.00
Positions (direct):
P: 0.0000 0.0000 0.0000
Au: 0.2500 0.2500 0.2500
Au: 0.7500 0.7500 0.7500
O: 0.5000 0.5000 0.5000



Among the records above, which one has the highest size of the total moment? P2PbAuO8